DFT (PBE) results for Tb2YHo2Er4 after structural relaxation.

Geometry as POSCAR:
```
Tb2YHo2Er4
1.0
3.5631 0.0000 0.0000
-1.7815 9.2429 -0.4736
0.0000 -3.6723 8.7150
Ho Er Tb Y
2 4 2 1
Direct
0.3330 0.6661 0.9992
0.6670 0.3339 0.0008
0.8146 0.6293 0.6655
0.4810 0.9621 0.6654
0.1854 0.3707 0.3345
0.5190 0.0379 0.3346
0.8521 0.7042 0.3343
0.1479 0.2958 0.6657
0.0000 0.0000 0.0000
```

Values from the calculation:
E = -4.792 eV/atom
SG = C2/m
DFT formation energy = 0.00 eV/atom
spin magnetization = 0.00 μB/f.u.


DFT (PBE) results for Pm4SmEr2 after structural relaxation.

Geometry as POSCAR:
```
Pm4SmEr2
1.0
-1.1920 -0.3782 6.7318
-8.6398 -1.7677 1.8528
0.5646 -8.4395 3.1079
Er Pm Sm
4 8 2
Direct
0.2810 0.9690 0.4690
0.7190 0.0310 0.5310
0.5000 0.5000 0.5000
0.5000 0.0000 0.0000
0.7694 0.7596 0.2596
0.1475 0.8500 0.8550
0.1475 0.3550 0.3500
0.8525 0.1500 0.1450
0.2306 0.2404 0.7404
0.8525 0.6450 0.6500
0.2114 0.7596 0.2596
0.7886 0.2404 0.7404
0.0000 0.5000 0.0000
0.5000 0.5000 0.0000
```

Values from the calculation:
E = -4.433 eV/atom
SG = Imma
DFT formation energy = 0.26 eV/atom
spin magnetization = 0.01 μB/f.u.


DFT (PBE) results for Sc2Ni15Ge2 after structural relaxation.

Geometry as POSCAR:
```
Sc2Ni15Ge2
1.0
6.2501 0.0099 0.0089
0.8207 6.1960 0.0089
0.8207 0.7203 6.1540
Sc Ni Ge
2 15 2
Direct
0.3531 0.3531 0.3531
0.6469 0.6469 0.6469
0.3451 0.8405 0.3451
0.5000 0.0000 0.0000
0.6549 0.6549 0.1595
0.1595 0.6549 0.6549
0.6894 0.0000 0.3106
0.0000 0.3106 0.6894
0.8405 0.3451 0.3451
0.0000 0.6894 0.3106
0.0000 0.5000 0.0000
0.6549 0.1595 0.6549
0.0000 0.0000 0.5000
0.3106 0.0000 0.6894
0.3451 0.3451 0.8405
0.6894 0.3106 0.0000
0.3106 0.6894 0.0000
0.8930 0.8930 0.8930
0.1070 0.1070 0.1070
```

Values from the calculation:
E = -5.917 eV/atom
SG = R-3m
DFT formation energy = -0.20 eV/atom
spin magnetization = 4.34 μB/f.u.


DFT (PBE) results for CaSi3Ag after structural relaxation.

Geometry as POSCAR:
```
CaSi3Ag
1.0
5.2916 0.0000 0.0000
0.0000 5.2916 0.0000
0.0000 0.0000 5.2916
Si Ag Ca
3 1 1
Direct
0.0000 0.0000 0.5000
0.0000 0.5000 0.0000
0.5000 0.0000 0.0000
0.5000 0.5000 0.5000
0.0000 0.0000 0.0000
```

Values from the calculation:
offset from the most stable computed form = 0.913 eV/atom
E = -2.682 eV/atom
SG = Pm-3m
spin magnetization = 0.99 μB/f.u.
energy relative to the elements, uncorrected = 7.714 eV per formula unit


DFT (PBE) results for Na2Te2Au after structural relaxation.

Geometry as POSCAR:
```
Na2Te2Au
1.0
-0.8096 -6.5641 3.9972
4.1590 3.0057 5.7783
-3.9584 1.6884 1.9709
Au Te Na
2 4 4
Direct
0.0000 0.0000 0.0000
0.5000 0.5000 0.0000
0.8331 0.6669 0.0000
0.1669 0.3331 0.0000
0.3331 0.8331 0.0000
0.6669 0.1669 0.0000
0.8518 0.3518 0.5000
0.3518 0.1482 0.5000
0.6482 0.8518 0.5000
0.1482 0.6482 0.5000
```

Values from the calculation:
offset from the most stable computed form = 0.046 eV/atom
E = -2.946 eV/atom
SG = P4/mbm
spin magnetization = 0.00 μB/f.u.
energy relative to the elements, uncorrected = -2.530 eV per formula unit


DFT (PBE) results for AgPd3 after structural relaxation.

Geometry as POSCAR:
```
AgPd3
1.0
-3.3431 -2.3348 1.9012
-3.1709 -1.8892 -2.5725
-0.1600 -4.4735 -0.4517
Ag Pd
1 3
Direct
0.5000 0.5000 0.5000
0.0000 0.0000 0.0000
0.7500 0.7500 0.7500
0.2500 0.2500 0.2500
```

Values from the calculation:
E = -4.545 eV/atom
SG = Fm-3m
DFT formation energy = 0.06 eV/atom
spin magnetization = 0.00 μB/f.u.


DFT (PBE) results for BaZrBe3 after structural relaxation.

Geometry as POSCAR:
```
BaZrBe3
1.0
5.0159 0.0000 0.0000
0.0000 5.0159 0.0000
0.0000 0.0000 5.0159
Be Ba Zr
3 1 1
Direct
0.5000 0.0000 0.0000
0.0000 0.5000 0.0000
0.0000 0.0000 0.5000
0.5000 0.5000 0.5000
0.0000 0.0000 0.0000
```

Values from the calculation:
offset from the most stable computed form = 0.000 eV/atom
E = -3.320 eV/atom
SG = Pm-3m
DFT formation energy = 1.01 eV/atom
spin magnetization = 1.30 μB/f.u.


DFT (PBE) results for Li4PmTm3Te8 after structural relaxation.

Geometry as POSCAR:
```
Li4PmTm3Te8
1.0
8.6719 0.0000 0.0000
0.0000 8.6541 -0.0216
-4.3359 -4.3322 6.1338
Te Li Pm Tm
8 4 1 3
Direct
0.7442 0.2444 0.0000
0.2495 0.2488 0.4990
0.7505 0.7512 0.5010
0.7442 0.7556 0.0000
0.2558 0.7556 0.0000
0.2558 0.2444 0.0000
0.2558 0.7555 0.5116
0.7442 0.2445 0.4884
0.5000 0.0000 0.5000
0.5000 0.0000 0.0000
0.0000 0.0000 0.0000
0.0000 0.0000 0.5000
0.0000 0.5000 0.0000
0.0000 0.5000 0.5000
0.5000 0.5000 0.0000
0.5000 0.5000 0.5000
```

Values from the calculation:
E = -4.461 eV/atom
SG = R-3m
spin magnetization = 0.00 μB/f.u.
energy relative to the elements, uncorrected = -20.415 eV per formula unit


DFT (PBE) results for Nd2Er2Tm after structural relaxation.

Geometry as POSCAR:
```
Nd2Er2Tm
1.0
3.4729 0.0000 0.9173
1.4755 2.9315 1.4465
-2.3547 2.0624 15.9476
Er Nd Tm
2 2 1
Direct
0.7066 0.2797 0.3071
0.2934 0.7203 0.6929
0.7609 0.5849 0.8934
0.2391 0.4151 0.1066
0.5000 0.5000 0.5000
```

Values from the calculation:
offset from the most stable computed form = 0.000 eV/atom
E = -4.615 eV/atom
SG = C2/m
DFT formation energy = 0.01 eV/atom
spin magnetization = 0.00 μB/f.u.


DFT (PBE) results for GaAgRh2 after structural relaxation.

Geometry as POSCAR:
```
GaAgRh2
1.0
3.7948 0.0000 0.0000
0.0000 3.7948 0.0000
1.8974 1.8974 9.2877
Rh Ga Ag
4 2 2
Direct
0.8750 0.8563 0.7500
0.6063 0.1250 0.2500
0.1437 0.6250 0.2500
0.3750 0.3937 0.7500
0.2500 0.7500 0.5000
0.5000 0.5000 0.0000
0.0000 0.0000 0.0000
0.7500 0.2500 0.5000
```

Values from the calculation:
E = -4.874 eV/atom
SG = I-42d
DFT formation energy = 0.27 eV/atom
spin magnetization = 0.94 μB/f.u.


DFT (PBE) results for HfMg after structural relaxation.

Geometry as POSCAR:
```
HfMg
1.0
10.5532 0.0000 0.0000
0.0000 10.5532 0.0000
0.0000 0.0000 3.2502
Hf Mg
8 8
Direct
0.8381 0.8381 0.0000
0.3381 0.3381 0.5000
0.6619 0.3381 0.5000
0.1619 0.8381 0.0000
0.3381 0.6619 0.5000
0.8381 0.1619 0.0000
0.6619 0.6619 0.5000
0.1619 0.1619 0.0000
0.3396 0.0000 0.5000
0.0000 0.3396 0.5000
0.8396 0.5000 0.0000
0.5000 0.8396 0.0000
0.5000 0.1604 0.0000
0.1604 0.5000 0.0000
0.6604 0.0000 0.5000
0.0000 0.6604 0.5000
```

Values from the calculation:
E = -5.483 eV/atom
SG = I4/mmm
DFT formation energy = 0.29 eV/atom
spin magnetization = 0.00 μB/f.u.


DFT (PBE) results for KPb3Au3 after structural relaxation.

Geometry as POSCAR:
```
KPb3Au3
1.0
4.8891 0.0000 0.0000
0.0000 8.3244 -4.7535
0.0000 -0.0407 9.5974
Pb Au K
6 6 2
Direct
0.2500 0.0343 0.2730
0.7500 0.7618 0.0344
0.7500 0.2729 0.2387
0.2500 0.7271 0.7613
0.7500 0.9657 0.7270
0.2500 0.2382 0.9656
0.2500 0.4030 0.4490
0.7500 0.9541 0.4030
0.7500 0.4488 0.0458
0.2500 0.5512 0.9542
0.7500 0.5970 0.5510
0.2500 0.0459 0.5970
0.2500 0.6665 0.3331
0.7500 0.3335 0.6669
```

Values from the calculation:
offset from the most stable computed form = 0.000 eV/atom
E = -3.286 eV/atom
SG = P2_1/m
DFT formation energy = -0.14 eV/atom
spin magnetization = 0.00 μB/f.u.


- Among the records above, which one has the highest E?
  CaSi3Ag